DFT (PBE) results for crystalline CoTeW2 at its relaxed geometry.

Summary:
theoretical density = 13.61 g/cm3
energy = -8.4052 eV/atom
E_form (uncorrected) = 2.5 eV per formula unit

Unit cell a=3.408 b=4.681 c=8.476 alpha=90.00 beta=90.00 gamma=90.00
Space group Cmm2 (No. 35)
Unique sites:
1 Co 0.000 0.000 0.000 x2
2 Te 0.000 0.500 0.250 x2
3 W 0.000 0.000 0.549 x2
4 W 0.000 0.500 0.792 x2